# PBE GdPtRh4, optimized geometry
data_GdPtRh4
_chemical_formula_sum 'Gd1 Pt1 Rh4'
_cell_length_a 5.227
_cell_length_b 5.227
_cell_length_c 5.227
_cell_angle_alpha 60.00
_cell_angle_beta 60.00
_cell_angle_gamma 60.00
_symmetry_space_group_name_H-M 'P 1'
_symmetry_Int_Tables_number 1
_symmetry_space_group_name_Hall 'P 1'
loop_
_atom_site_label
_atom_site_type_symbol
_atom_site_fract_x
_atom_site_fract_y
_atom_site_fract_z
_atom_site_occupancy
Gd1 Gd 0.250 0.250 0.250 1
Rh1 Rh 0.626 0.626 0.123 1
Rh2 Rh 0.626 0.123 0.626 1
Rh3 Rh 0.626 0.626 0.626 1
Rh4 Rh 0.123 0.626 0.626 1
Pt1 Pt 0.000 0.000 0.000 1
# energy relative to the elements	-0.265	eV/atom
# symmetry	F-43m (216)
# total magnetization	1.03	μB/atom